[1]
First-principles (PBE) data for crystalline ZrScRe2Ge at its relaxed geometry, as listed in the Alexandria database.

Results
total moment: 0.0 μB per formula unit
E_form: 782 meV/atom
SG: P4/mmm

Lattice parameters (Å, degrees): 4.623 4.733 4.623 90.00 90.00 90.00
Positions (direct):
Sc 0.000 0.500 0.000
Re 0.000 0.000 0.500
Re 0.500 0.000 0.000
Ge 0.000 0.000 0.000
Zr 0.500 0.500 0.500


[2]
First-principles (PBE) data for crystalline CaMgCo2Ge2 at its relaxed geometry, as listed in the Alexandria database.

Results
total moment: 0.4 μB per formula unit
E_form: -374 meV/atom
SG: P-3m1

Lattice parameters (Å, degrees): 4.138 4.138 6.917 90.00 90.00 120.00
Positions (direct):
Ca 0.000 0.000 0.000
Mg 0.000 0.000 0.500
Co 0.333 0.667 0.634
Co 0.667 0.333 0.366
Ge 0.333 0.667 0.284
Ge 0.667 0.333 0.716


[3]
First-principles (PBE) data for crystalline Ac3Pm6Dy2 at its relaxed geometry, as listed in the Alexandria database.

Results
total moment: 0.0 μB per formula unit
E_form: 44 meV/atom
SG: R-3m

Lattice parameters (Å, degrees): 3.740 3.740 33.228 86.77 86.77 60.00
Positions (direct):
Ac 0.000 0.000 0.000
Ac 0.729 0.729 0.813
Ac 0.271 0.271 0.187
Pm 0.906 0.906 0.282
Pm 0.094 0.094 0.718
Pm 0.818 0.818 0.545
Pm 0.182 0.182 0.455
Pm 0.635 0.635 0.094
Pm 0.365 0.365 0.906
Dy 0.544 0.544 0.368
Dy 0.456 0.456 0.632